VASP calculation (PBE) on a geometry-optimized Mn5CrRu2 structure.

```
8
Lattice="4.451 0.000 0.000 0.000 5.259 0.000 -1.402 0.000 4.265" Properties=species:S:1:pos:R:3 pbc="T T T"
Mn 0.000 0.000 0.000
Mn -0.701 1.251 2.132
Mn 2.226 1.242 0.000
Mn 1.524 2.565 2.132
Mn 1.524 5.211 2.132
Cr 2.226 3.896 0.000
Ru 0.000 2.582 0.000
Ru -0.701 3.929 2.132
```

**Energy of formation**: 1.6 kcal/mol of atoms
**Density of states at the Fermi level**: 11.2 states/eV/cell